Entry 1:
Sr2MnO3: relaxed, GGA+U.

Calculated values
Energy (eV/atom): -6.57
Total magnetization (μB per atom): 0.665

CIF file:
```
data_Sr2MnO3
_cell_length_a 3.578
_cell_length_b 4.014
_cell_length_c 7.013
_cell_angle_alpha 106.63
_cell_angle_beta 104.78
_cell_angle_gamma 90.00
_symmetry_space_group_name_H-M 'P 1'
_symmetry_Int_Tables_number 1
_symmetry_space_group_name_Hall 'P 1'
loop_
_atom_site_label
_atom_site_fract_x
_atom_site_fract_y
_atom_site_fract_z
Sr1 0.351 0.351 0.702
O1 0.000 0.500 0.000
O2 0.157 0.157 0.314
O3 0.843 0.843 0.686
Sr2 0.649 0.649 0.298
Mn1 0.000 0.000 0.000
```

=====

Entry 2:
SrMnO2: relaxed, GGA+U.

Calculated values
Energy (eV/atom): -6.37
Total magnetization (μB per atom): 1.250

CIF file:
```
data_SrMnO2
_cell_length_a 4.215
_cell_length_b 4.215
_cell_length_c 4.215
_cell_angle_alpha 60.00
_cell_angle_beta 60.00
_cell_angle_gamma 60.00
_symmetry_space_group_name_H-M 'P 1'
_symmetry_Int_Tables_number 1
_symmetry_space_group_name_Hall 'P 1'
loop_
_atom_site_label
_atom_site_fract_x
_atom_site_fract_y
_atom_site_fract_z
Sr1 0.500 0.500 0.500
Mn1 0.000 0.000 0.000
O1 0.750 0.750 0.750
O2 0.250 0.250 0.250
```

=====

Entry 3:
Sr2Mn2O5: relaxed, GGA+U.

Calculated values
Energy (eV/atom): -6.97
Total magnetization (μB per atom): 0.889

CIF file:
```
data_Sr2Mn2O5
_cell_length_a 3.856
_cell_length_b 5.624
_cell_length_c 11.026
_cell_angle_alpha 90.00
_cell_angle_beta 90.00
_cell_angle_gamma 90.00
_symmetry_space_group_name_H-M 'P 1'
_symmetry_Int_Tables_number 1
_symmetry_space_group_name_Hall 'P 1'
loop_
_atom_site_label
_atom_site_fract_x
_atom_site_fract_y
_atom_site_fract_z
O1 0.500 0.969 0.729
O2 0.500 0.000 0.000
O3 0.500 0.500 0.500
Mn1 0.500 0.759 0.376
Mn2 0.500 0.741 0.876
Sr1 0.000 0.786 0.133
O4 0.500 0.531 0.229
Sr2 0.000 0.714 0.633
Mn3 0.500 0.241 0.624
Sr3 0.000 0.214 0.867
Mn4 0.500 0.259 0.124
O5 0.000 0.202 0.599
O6 0.000 0.798 0.401
O7 0.000 0.298 0.099
Sr4 0.000 0.286 0.367
O8 0.500 0.031 0.271
O9 0.000 0.702 0.901
O10 0.500 0.469 0.771
```

=====

Entry 4:
SrMnO2: relaxed, GGA+U.

Calculated values
Energy (eV/atom): -5.68
Total magnetization (μB per atom): 0.564

CIF file:
```
data_SrMnO2
_cell_length_a 6.782
_cell_length_b 6.782
_cell_length_c 6.782
_cell_angle_alpha 27.10
_cell_angle_beta 27.10
_cell_angle_gamma 27.10
_symmetry_space_group_name_H-M 'P 1'
_symmetry_Int_Tables_number 1
_symmetry_space_group_name_Hall 'P 1'
loop_
_atom_site_label
_atom_site_fract_x
_atom_site_fract_y
_atom_site_fract_z
O1 0.120 0.120 0.120
Sr1 0.000 0.000 0.000
O2 0.880 0.880 0.880
Mn1 0.500 0.500 0.500
```

=====

Entry 5:
Sr2Mn2O5: relaxed, GGA+U.

Calculated values
Energy (eV/atom): -6.95
Total magnetization (μB per atom): 0.889

CIF file:
```
data_Sr2Mn2O5
_cell_length_a 5.544
_cell_length_b 5.560
_cell_length_c 9.100
_cell_angle_alpha 107.79
_cell_angle_beta 107.74
_cell_angle_gamma 90.00
_symmetry_space_group_name_H-M 'P 1'
_symmetry_Int_Tables_number 1
_symmetry_space_group_name_Hall 'P 1'
loop_
_atom_site_label
_atom_site_fract_x
_atom_site_fract_y
_atom_site_fract_z
O1 0.760 0.754 0.005
O2 0.876 0.844 0.722
O3 0.372 0.857 0.500
O4 0.255 0.249 0.995
Sr1 0.901 0.400 0.783
O5 0.654 0.622 0.278
O6 0.872 0.143 0.500
O7 0.260 0.752 0.005
Mn1 0.509 0.500 0.000
O8 0.154 0.156 0.278
Sr2 0.118 0.600 0.217
Mn2 0.218 0.185 0.500
O9 0.376 0.378 0.722
Sr3 0.618 0.117 0.217
Mn3 0.718 0.815 0.500
Sr4 0.401 0.883 0.783
Mn4 0.009 0.000 0.000
O10 0.755 0.246 0.995
```

=====

Entry 6:
Sr2MnO2: relaxed, GGA+U.

Calculated values
Energy (eV/atom): -5.68
Total magnetization (μB per atom): 1.000

CIF file:
```
data_Sr2MnO2
_cell_length_a 7.114
_cell_length_b 7.114
_cell_length_c 3.495
_cell_angle_alpha 90.00
_cell_angle_beta 90.00
_cell_angle_gamma 90.00
_symmetry_space_group_name_H-M 'P 1'
_symmetry_Int_Tables_number 1
_symmetry_space_group_name_Hall 'P 1'
loop_
_atom_site_label
_atom_site_fract_x
_atom_site_fract_y
_atom_site_fract_z
O1 0.338 0.838 0.000
Sr1 0.656 0.844 0.500
Sr2 0.156 0.656 0.500
O2 0.838 0.662 0.000
Mn1 0.500 0.500 0.000
Sr3 0.344 0.156 0.500
Mn2 0.000 0.000 0.000
O3 0.662 0.162 0.000
O4 0.162 0.338 0.000
Sr4 0.844 0.344 0.500
```

=====

Entry 7:
Sr2Mn2O5: relaxed, GGA+U.

Calculated values
Energy (eV/atom): -6.93
Total magnetization (μB per atom): 0.889

CIF file:
```
data_Sr2Mn2O5
_cell_length_a 3.934
_cell_length_b 3.934
_cell_length_c 7.848
_cell_angle_alpha 90.00
_cell_angle_beta 90.00
_cell_angle_gamma 90.00
_symmetry_space_group_name_H-M 'P 1'
_symmetry_Int_Tables_number 1
_symmetry_space_group_name_Hall 'P 1'
loop_
_atom_site_label
_atom_site_fract_x
_atom_site_fract_y
_atom_site_fract_z
O1 0.500 0.000 0.784
O2 0.000 0.500 0.784
O3 0.500 0.000 0.216
Sr1 0.000 0.000 0.500
O4 0.000 0.500 0.216
O5 0.500 0.500 0.500
Mn1 0.500 0.500 0.750
Sr2 0.000 0.000 0.000
Mn2 0.500 0.500 0.250
```

=====

Entry 8:
Sr7Mn7O20: relaxed, GGA+U.

Calculated values
Energy (eV/atom): -6.88
Total magnetization (μB per atom): 0.690

CIF file:
```
data_Sr7Mn7O20
_cell_length_a 3.893
_cell_length_b 8.678
_cell_length_c 12.441
_cell_angle_alpha 81.10
_cell_angle_beta 90.00
_cell_angle_gamma 90.00
_symmetry_space_group_name_H-M 'P 1'
_symmetry_Int_Tables_number 1
_symmetry_space_group_name_Hall 'P 1'
loop_
_atom_site_label
_atom_site_fract_x
_atom_site_fract_y
_atom_site_fract_z
Mn1 0.000 0.715 0.430
O1 0.500 0.439 0.877
O2 0.500 0.561 0.123
Mn2 0.000 0.143 0.286
Mn3 0.000 0.285 0.570
O3 0.500 0.715 0.430
O4 0.000 0.228 0.418
O5 0.000 0.933 0.366
O6 0.500 0.141 0.283
O7 0.500 0.285 0.570
Sr1 0.500 0.000 0.500
O8 0.000 0.067 0.634
O9 0.500 0.859 0.717
O10 0.000 0.049 0.148
Sr2 0.500 0.860 0.218
Mn4 0.000 0.574 0.148
O11 0.000 0.772 0.582
Sr3 0.500 0.266 0.077
O12 0.000 0.353 0.195
Sr4 0.500 0.574 0.639
Mn5 0.000 0.426 0.852
Sr5 0.500 0.426 0.361
O13 0.500 0.000 0.000
Mn6 0.000 0.000 0.000
O14 0.000 0.646 0.286
O15 0.000 0.500 0.500
O16 0.000 0.228 0.945
O17 0.000 0.354 0.714
O18 0.000 0.951 0.852
Sr6 0.500 0.140 0.782
Sr7 0.500 0.734 0.923
O19 0.000 0.772 0.055
O20 0.000 0.647 0.805
Mn7 0.000 0.857 0.714
```

=====

Entry 9:
Sr2TaMnO6: relaxed, GGA+U.

Calculated values
Energy (eV/atom): -7.91
Total magnetization (μB per atom): 0.400

CIF file:
```
data_Sr2TaMnO6
_cell_length_a 5.685
_cell_length_b 5.685
_cell_length_c 5.685
_cell_angle_alpha 60.00
_cell_angle_beta 60.00
_cell_angle_gamma 60.00
_symmetry_space_group_name_H-M 'P 1'
_symmetry_Int_Tables_number 1
_symmetry_space_group_name_Hall 'P 1'
loop_
_atom_site_label
_atom_site_fract_x
_atom_site_fract_y
_atom_site_fract_z
Ta1 0.500 0.500 0.500
O1 0.747 0.747 0.253
Sr1 0.250 0.250 0.250
O2 0.747 0.253 0.253
Mn1 0.000 0.000 0.000
O3 0.253 0.253 0.747
O4 0.253 0.747 0.253
Sr2 0.750 0.750 0.750
O5 0.253 0.747 0.747
O6 0.747 0.253 0.747
```

=====

Entry 10:
SrTaMnO5: relaxed, GGA+U.

Calculated values
Energy (eV/atom): -8.23
Total magnetization (μB per atom): 0.500

CIF file:
```
data_SrTaMnO5
_cell_length_a 5.824
_cell_length_b 5.824
_cell_length_c 7.591
_cell_angle_alpha 101.53
_cell_angle_beta 101.53
_cell_angle_gamma 111.34
_symmetry_space_group_name_H-M 'P 1'
_symmetry_Int_Tables_number 1
_symmetry_space_group_name_Hall 'P 1'
loop_
_atom_site_label
_atom_site_fract_x
_atom_site_fract_y
_atom_site_fract_z
O1 0.268 0.870 0.586
O2 0.359 0.277 0.078
Ta1 0.000 0.000 0.000
O3 0.870 0.268 0.086
Mn1 0.327 0.673 0.750
O4 0.130 0.732 0.914
O5 0.061 0.939 0.250
O6 0.732 0.130 0.414
Mn2 0.673 0.327 0.250
Sr1 0.324 0.676 0.250
Ta2 0.000 0.000 0.500
Sr2 0.676 0.324 0.750
O7 0.939 0.061 0.750
O8 0.277 0.359 0.578
O9 0.641 0.723 0.922
O10 0.723 0.641 0.422
```

=====

Entry 11:
Sr3TaMn2O9: relaxed, GGA+U.

Calculated values
Energy (eV/atom): -7.58
Total magnetization (μB per atom): 0.467

CIF file:
```
data_Sr3TaMn2O9
_cell_length_a 5.600
_cell_length_b 5.600
_cell_length_c 6.876
_cell_angle_alpha 90.00
_cell_angle_beta 90.00
_cell_angle_gamma 120.00
_symmetry_space_group_name_H-M 'P 1'
_symmetry_Int_Tables_number 1
_symmetry_space_group_name_Hall 'P 1'
loop_
_atom_site_label
_atom_site_fract_x
_atom_site_fract_y
_atom_site_fract_z
O1 0.167 0.334 0.332
O2 0.167 0.833 0.332
O3 0.334 0.167 0.668
O4 0.500 0.000 0.000
O5 0.500 0.500 0.000
Mn1 0.333 0.667 0.162
Sr1 0.000 0.000 0.000
O6 0.000 0.500 0.000
Sr2 0.667 0.333 0.317
O7 0.833 0.666 0.668
Mn2 0.667 0.333 0.838
Ta1 0.000 0.000 0.500
O8 0.666 0.833 0.332
O9 0.833 0.167 0.668
Sr3 0.333 0.667 0.683
```

=====

Entry 12:
Sr2TbMnO5: relaxed, GGA+U.

Calculated values
Energy (eV/atom): -7.10
Total magnetization (μB per atom): 0.444

CIF file:
```
data_Sr2TbMnO5
_cell_length_a 3.509
_cell_length_b 6.906
_cell_length_c 11.597
_cell_angle_alpha 90.00
_cell_angle_beta 90.00
_cell_angle_gamma 104.71
_symmetry_space_group_name_H-M 'P 1'
_symmetry_Int_Tables_number 1
_symmetry_space_group_name_Hall 'P 1'
loop_
_atom_site_label
_atom_site_fract_x
_atom_site_fract_y
_atom_site_fract_z
Tb1 0.788 0.576 0.529
Sr1 0.914 0.827 0.179
Mn1 0.477 0.953 0.444
O1 0.954 0.909 0.534
Sr2 0.849 0.697 0.808
O2 0.729 0.459 0.160
O3 0.621 0.242 0.484
O4 0.046 0.091 0.034
Mn2 0.523 0.047 0.944
O5 0.271 0.541 0.660
O6 0.487 0.975 0.781
O7 0.329 0.658 0.405
O8 0.379 0.758 0.984
O9 0.513 0.025 0.281
Sr3 0.151 0.303 0.308
Sr4 0.086 0.173 0.679
Tb2 0.212 0.424 0.029
O10 0.671 0.342 0.905
```

=====

- What is the total magnetization in the sixth record?
  1.000 μB per atom